Here is a relaxed structure of TaMn2Hg from the Alexandria database. Energies are from GGA-PBE.

a b c (Å): 5.0643 5.0643 5.0643
angles (deg): 135.31 135.31 65.05
Closest atoms and distances in Å follow each position.
Fractional positions:
1 Mn 0.2500 0.7500 0.5000  4 Hg 2.72, 4 Mn 2.87, 4 Ta 2.87
2 Ta 0.5000 0.5000 0.0000  8 Mn 2.72-2.87, 4 Hg 2.87
3 Hg 0.7500 0.2500 0.5000  8 Mn 2.72-2.87, 4 Ta 2.87
4 Mn 0.0000 0.0000 0.0000  4 Ta 2.72, 4 Mn 2.87, 4 Hg 2.87

Computed properties:
size of the total moment = 4.35 μB per cell
N(E_F) = 3.696 states/eV/cell
uncorrected energy = -7.314 eV per atom